[1]
4
Lattice="-3.265 -0.375 -3.810 1.133 -2.812 -4.016 -2.436 -4.327 -0.809" Properties=species:S:1:pos:R:3 comment="SmMgZnCd | Alexandria via LeMat-Bulk | GGA-PBE | relaxed" ef_kj_per_mol_fu=-121 m_tot_mub_per_fu=0.00 dos_at_fermi_per_ev_cell=2.08 pbc="T T T"
Sm -1.142 -1.879 -2.159
Cd 0.000 0.000 0.000
Mg -3.426 -5.636 -6.476
Zn -2.284 -3.757 -4.317

***

[2]
8
Lattice="-0.823 -3.882 -3.475 3.385 -0.741 -3.977 5.471 -6.939 2.451" Properties=species:S:1:pos:R:3 comment="Sm4MgZn2Cd | Alexandria via LeMat-Bulk | GGA-PBE | relaxed" ef_kj_per_mol_fu=-187 m_tot_mub_per_fu=0.00 dos_at_fermi_per_ev_cell=8.99 pbc="T T T"
Zn 1.947 -2.819 -1.316
Sm 5.740 -7.795 -0.659
Mg 0.000 0.000 0.000
Zn 6.086 -8.742 -3.686
Sm 4.296 -6.650 -5.599
Sm 3.737 -4.911 0.597
Cd 4.017 -5.780 -2.501
Sm 2.294 -3.766 -4.342

***

[3]
4
Lattice="-0.022 0.969 -5.098 -1.759 -3.584 -3.315 -4.497 0.744 -2.480" Properties=species:S:1:pos:R:3 comment="SmMgZrCd | Alexandria via LeMat-Bulk | GGA-PBE | relaxed" ef_kj_per_mol_fu=-12 m_tot_mub_per_fu=0.00 dos_at_fermi_per_ev_cell=5.85 pbc="T T T"
Zr 0.000 0.000 0.000
Mg -1.569 -0.468 -2.723
Cd -4.708 -1.403 -8.170
Sm -3.139 -0.935 -5.446

***

[4]
8
Lattice="-8.131 1.452 0.930 -1.496 -8.169 -0.329 -4.497 -3.540 3.347" Properties=species:S:1:pos:R:3 comment="MgCdSn2 | Alexandria via LeMat-Bulk | GGA-PBE | relaxed" e_above_lowest_polymorph_kcal_per_mol_atoms=2.84 ef_kj_per_mol_fu=34 m_tot_mub_per_fu=0.00 dos_at_fermi_per_ev_cell=4.81 pbc="T T T"
Sn -6.968 -5.089 2.739
Sn -6.478 -0.984 1.386
Cd 0.000 0.000 0.000
Cd -8.721 -2.723 2.289
Sn -11.812 -8.617 3.033
Mg -4.813 -3.359 0.300
Mg -5.403 -7.534 1.659
Sn -2.991 -5.824 0.738

***

Q: Which formula does entry 3 have?
A: SmMgZrCd

***

Please write out number 2 again, unchanged.
8
Lattice="-0.823 -3.882 -3.475 3.385 -0.741 -3.977 5.471 -6.939 2.451" Properties=species:S:1:pos:R:3 comment="Sm4MgZn2Cd | Alexandria via LeMat-Bulk | GGA-PBE | relaxed" ef_kj_per_mol_fu=-187 m_tot_mub_per_fu=0.00 dos_at_fermi_per_ev_cell=8.99 pbc="T T T"
Zn 1.947 -2.819 -1.316
Sm 5.740 -7.795 -0.659
Mg 0.000 0.000 0.000
Zn 6.086 -8.742 -3.686
Sm 4.296 -6.650 -5.599
Sm 3.737 -4.911 0.597
Cd 4.017 -5.780 -2.501
Sm 2.294 -3.766 -4.342